[1]
DFT (GGA-PBE) results for a geometry-optimized NaTlInSn structure.

Cell lengths 5.4014, 5.4014, 5.4014 Å; angles 60.00, 60.00, 60.00 degrees
Atoms (fractional coordinates):
Na  0.0000  0.0000  0.0000
Tl  0.2500  0.2500  0.2500
In  0.5000  0.5000  0.5000
Sn  0.7500  0.7500  0.7500

Summary:
Size of the total moment ... 0.00 μB/f.u.
Energy above the lowest structure with this stoichiometry ... 9 meV/atom
DFT formation energy ... -0.3 eV/f.u.


[2]
DFT (GGA-PBE) results for a geometry-optimized Na2Tl4In2Sn structure.

Cell lengths 8.1247, 8.1247, 8.3476 Å; angles 105.30, 105.30, 28.97 degrees
Atoms (fractional coordinates):
Na  0.1178  0.1178  0.1594
Na  0.8822  0.8822  0.8406
Tl  0.2146  0.2146  0.8194
Tl  0.4552  0.4552  0.1788
Tl  0.5448  0.5448  0.8212
Tl  0.7854  0.7854  0.1806
In  0.3366  0.3366  0.5096
In  0.6634  0.6634  0.4904
Sn  0.0000  0.0000  0.5000

Summary:
Size of the total moment ... 0.00 μB/f.u.
DFT formation energy ... -0.5 eV/f.u.


[3]
DFT (GGA-PBE) results for a geometry-optimized NaTlInSn structure.

Cell lengths 4.4576, 4.7627, 5.1121 Å; angles 90.00, 90.00, 90.00 degrees
Atoms (fractional coordinates):
Na  0.0000  0.0000  0.0000
Tl  0.5000  0.5000  0.0000
In  0.0000  0.5000  0.5000
Sn  0.5000  0.0000  0.5000

Summary:
Size of the total moment ... 0.00 μB/f.u.
Energy above the lowest structure with this stoichiometry ... 0 meV/atom
DFT formation energy ... -0.3 eV/f.u.


[4]
DFT (GGA-PBE) results for a geometry-optimized Na2TlIn2Sn2 structure.

Cell lengths 9.3274, 9.3274, 9.3274 Å; angles 31.62, 31.62, 31.62 degrees
Atoms (fractional coordinates):
Na  0.1399  0.1399  0.1399
Na  0.8601  0.8601  0.8601
Tl  0.0000  0.0000  0.0000
In  0.4330  0.4330  0.4330
In  0.5670  0.5670  0.5670
Sn  0.2657  0.2657  0.2657
Sn  0.7343  0.7343  0.7343

Summary:
Size of the total moment ... 0.00 μB/f.u.
DFT formation energy ... -0.4 eV/f.u.


[5]
DFT (GGA-PBE) results for a geometry-optimized NaYInSn structure.

Cell lengths 4.4911, 4.6716, 4.8738 Å; angles 90.00, 90.00, 90.00 degrees
Atoms (fractional coordinates):
Na  0.0000  0.0000  0.0000
Y  0.0000  0.5000  0.5000
In  0.5000  0.5000  0.0000
Sn  0.5000  0.0000  0.5000

Summary:
Size of the total moment ... 0.00 μB/f.u.
Energy above the lowest structure with this stoichiometry ... 0 meV/atom
DFT formation energy ... -1.6 eV/f.u.


[6]
DFT (GGA-PBE) results for a geometry-optimized NaYInSn structure.

Cell lengths 5.3164, 5.3164, 5.3164 Å; angles 60.00, 60.00, 60.00 degrees
Atoms (fractional coordinates):
Na  0.0000  0.0000  0.0000
Y  0.5000  0.5000  0.5000
In  0.2500  0.2500  0.2500
Sn  0.7500  0.7500  0.7500

Summary:
Size of the total moment ... 0.00 μB/f.u.
Energy above the lowest structure with this stoichiometry ... 83 meV/atom
DFT formation energy ... -1.3 eV/f.u.


[7]
DFT (GGA-PBE) results for a geometry-optimized Na2Zn3InSn4 structure.

Cell lengths 4.6117, 4.6117, 12.0778 Å; angles 90.00, 90.00, 90.00 degrees
Atoms (fractional coordinates):
Na  0.0000  0.5000  0.2436
Na  0.5000  0.0000  0.7564
Zn  0.0000  0.5000  0.8625
Zn  0.5000  0.0000  0.1375
Zn  0.5000  0.5000  0.5000
In  0.0000  0.0000  0.5000
Sn  0.0000  0.0000  0.0000
Sn  0.0000  0.5000  0.6448
Sn  0.5000  0.0000  0.3552
Sn  0.5000  0.5000  0.0000

Summary:
Size of the total moment ... 0.00 μB/f.u.
DFT formation energy ... -0.7 eV/f.u.


[8]
DFT (GGA-PBE) results for a geometry-optimized NaSr5In2 structure.

Cell lengths 10.2276, 10.2276, 10.2276 Å; angles 125.69, 125.69, 80.40 degrees
Atoms (fractional coordinates):
Na  0.2500  0.2500  0.0000
Na  0.7500  0.7500  0.0000
Sr  0.0000  0.0000  0.0000
Sr  0.0240  0.5240  0.8204
Sr  0.2035  0.0240  0.5000
Sr  0.2965  0.7965  0.8204
Sr  0.4760  0.2965  0.5000
Sr  0.5000  0.5000  0.0000
Sr  0.5240  0.7035  0.5000
Sr  0.7035  0.2035  0.1796
Sr  0.7965  0.9760  0.5000
Sr  0.9760  0.4760  0.1796
In  0.1305  0.3695  0.5000
In  0.3695  0.8695  0.2391
In  0.6305  0.1305  0.7609
In  0.8695  0.6305  0.5000

Summary:
Size of the total moment ... 0.00 μB/f.u.
DFT formation energy ... -1.9 eV/f.u.


[9]
DFT (GGA-PBE) results for a geometry-optimized NaSr5In3 structure.

Cell lengths 10.3375, 10.3375, 7.3265 Å; angles 90.00, 90.00, 120.00 degrees
Atoms (fractional coordinates):
Na  0.0000  0.0000  0.0000
Na  0.0000  0.0000  0.5000
Sr  0.0000  0.3081  0.2500
Sr  0.0000  0.6919  0.7500
Sr  0.3081  0.0000  0.2500
Sr  0.3081  0.3081  0.7500
Sr  0.3333  0.6667  0.0000
Sr  0.3333  0.6667  0.5000
Sr  0.6667  0.3333  0.0000
Sr  0.6667  0.3333  0.5000
Sr  0.6919  0.0000  0.7500
Sr  0.6919  0.6919  0.2500
In  0.0000  0.3634  0.7500
In  0.0000  0.6366  0.2500
In  0.3634  0.0000  0.7500
In  0.3634  0.3634  0.2500
In  0.6366  0.0000  0.2500
In  0.6366  0.6366  0.7500

Summary:
Size of the total moment ... 0.00 μB/f.u.
DFT formation energy ... -2.4 eV/f.u.


[10]
DFT (GGA-PBE) results for a geometry-optimized NaSrIn structure.

Cell lengths 5.2558, 5.2558, 8.9953 Å; angles 90.00, 90.00, 120.00 degrees
Atoms (fractional coordinates):
Na  0.3333  0.6667  0.4494
Na  0.6667  0.3333  0.5506
Sr  0.0000  0.0000  0.2194
Sr  0.0000  0.0000  0.7806
In  0.3333  0.6667  0.0425
In  0.6667  0.3333  0.9575

Summary:
Size of the total moment ... 0.00 μB/f.u.
Energy above the lowest structure with this stoichiometry ... 15 meV/atom
DFT formation energy ... -0.5 eV/f.u.


[11]
DFT (GGA-PBE) results for a geometry-optimized NaSrIn2 structure.

Cell lengths 3.9012, 3.9012, 7.8586 Å; angles 90.00, 90.00, 90.00 degrees
Atoms (fractional coordinates):
Na  0.0000  0.0000  0.0000
Sr  0.0000  0.0000  0.5000
In  0.5000  0.5000  0.2107
In  0.5000  0.5000  0.7893

Summary:
Size of the total moment ... 0.00 μB/f.u.
Energy above the lowest structure with this stoichiometry ... 61 meV/atom
DFT formation energy ... -1.0 eV/f.u.


[12]
DFT (GGA-PBE) results for a geometry-optimized NaSrIn structure.

Cell lengths 11.4316, 11.4316, 11.4316 Å; angles 156.25, 156.25, 33.84 degrees
Atoms (fractional coordinates):
Na  0.2098  0.2098  0.0000
Na  0.7902  0.7902  0.0000
Sr  0.4042  0.4042  0.0000
Sr  0.5958  0.5958  0.0000
In  0.0641  0.0641  0.0000
In  0.9359  0.9359  0.0000

Summary:
Size of the total moment ... 0.00 μB/f.u.
Energy above the lowest structure with this stoichiometry ... 112 meV/atom
DFT formation energy ... -0.2 eV/f.u.


Please write out number 11 again, unchanged.
DFT (GGA-PBE) results for a geometry-optimized NaSrIn2 structure.

Cell lengths 3.9012, 3.9012, 7.8586 Å; angles 90.00, 90.00, 90.00 degrees
Atoms (fractional coordinates):
Na  0.0000  0.0000  0.0000
Sr  0.0000  0.0000  0.5000
In  0.5000  0.5000  0.2107
In  0.5000  0.5000  0.7893

Summary:
Size of the total moment ... 0.00 μB/f.u.
Energy above the lowest structure with this stoichiometry ... 61 meV/atom
DFT formation energy ... -1.0 eV/f.u.


Repeat the fifth record exactly.
DFT (GGA-PBE) results for a geometry-optimized NaYInSn structure.

Cell lengths 4.4911, 4.6716, 4.8738 Å; angles 90.00, 90.00, 90.00 degrees
Atoms (fractional coordinates):
Na  0.0000  0.0000  0.0000
Y  0.0000  0.5000  0.5000
In  0.5000  0.5000  0.0000
Sn  0.5000  0.0000  0.5000

Summary:
Size of the total moment ... 0.00 μB/f.u.
Energy above the lowest structure with this stoichiometry ... 0 meV/atom
DFT formation energy ... -1.6 eV/f.u.


- Which value of size of the total moment does entry 12 give?
  0.00 μB/f.u.